Density functional theory data (PBE-GGA) for a geometry-optimized CaSnHg structure.

Summary:
Space-group type: P2 (3)
Formation energy from the elements: -480.4 meV per atom
Theoretical density: 7.16 g/cm³

Geometry as extended XYZ:
```
6
Lattice="4.5535 0.0000 0.0000 0.0000 4.7374 0.0000 -2.2521 0.0000 7.7223" Properties=species:S:1:pos:R:3 pbc="T T T"
Ca 0.0112 0.0000 2.3315
Ca 2.2902 0.0000 5.3908
Sn 0.0125 2.3688 4.8658
Sn 2.2889 2.3688 2.8565
Hg 0.0000 2.3732 0.0000
Hg 2.2768 0.0092 0.0000
```

=====

Density functional theory data (PBE-GGA) for a geometry-optimized Ca2SnHg structure.

Summary:
Polymorph energy (0 for the lowest one): 2.179 eV/f.u.
Space-group type: I-42d (122)
Formation energy from the elements: -117.1 meV per atom
Theoretical density: 4.93 g/cm³

Geometry as extended XYZ:
```
8
Lattice="-2.5536 2.5536 10.3220 2.5536 -2.5536 10.3220 2.5536 2.5536 -10.3220" Properties=species:S:1:pos:R:3 pbc="T T T"
Ca 3.8304 1.2735 -2.5805
Ca 1.2735 1.2768 2.5805
Ca -1.2768 1.2801 7.7415
Ca 1.2801 1.2768 12.9025
Sn 2.5536 0.0000 5.1610
Sn 0.0000 0.0000 10.3220
Hg 0.0000 0.0000 0.0000
Hg 0.0000 2.5536 5.1610
```

=====

Density functional theory data (PBE-GGA) for a geometry-optimized Ca2SnHg2 structure.

Summary:
Polymorph energy (0 for the lowest one): 0.766 eV/f.u.
Space-group type: I4/mmm (139)
Formation energy from the elements: -347.4 meV per atom
Theoretical density: 6.57 g/cm³

Geometry as extended XYZ:
```
5
Lattice="-2.0790 2.0790 8.7683 2.0790 -2.0790 8.7683 2.0790 2.0790 -8.7683" Properties=species:S:1:pos:R:3 pbc="T T T"
Ca 0.0000 0.0000 1.7753
Ca 0.0000 0.0000 15.7614
Sn 0.0000 0.0000 8.7683
Hg 2.0790 0.0000 4.3842
Hg 0.0000 2.0790 4.3842
```

=====

Density functional theory data (PBE-GGA) for a geometry-optimized Ca6Sn2Hg structure.

Summary:
Space-group type: Immm (71)
Formation energy from the elements: -468.8 meV per atom
Theoretical density: 3.50 g/cm³

Geometry as extended XYZ:
```
9
Lattice="-2.6418 3.7963 8.0177 2.6418 -3.7963 8.0177 2.6418 3.7963 -8.0177" Properties=species:S:1:pos:R:3 pbc="T T T"
Ca 2.6418 1.9023 -2.6688
Ca 0.0000 1.8830 0.0000
Ca 2.6418 1.9023 2.6688
Ca 0.0000 1.8940 5.3489
Ca 0.0000 5.7096 0.0000
Ca 0.0000 1.8940 10.6865
Sn 0.0000 0.0000 2.6783
Sn 0.0000 0.0000 13.3571
Hg 0.0000 0.0000 8.0177
```

=====

Density functional theory data (PBE-GGA) for a geometry-optimized Ca4Sn5Hg2 structure.

Summary:
Space-group type: P2/m (10)
Formation energy from the elements: -476.7 meV per atom
Theoretical density: 6.41 g/cm³

Geometry as extended XYZ:
```
11
Lattice="8.1100 0.0000 0.0000 0.0000 3.5211 0.0000 -0.7952 0.0000 10.4829" Properties=species:S:1:pos:R:3 pbc="T T T"
Ca 1.1470 0.0000 4.0640
Ca 1.4968 0.0000 9.8158
Ca 5.8180 0.0000 0.6671
Ca 6.1678 0.0000 6.4189
Sn 0.9771 1.7605 6.9415
Sn 3.4086 1.7605 2.1018
Sn 3.6574 1.7605 5.2415
Sn 3.9062 1.7605 8.3811
Sn 6.3377 1.7605 3.5415
Hg 0.4197 1.7605 1.4113
Hg 6.8952 1.7605 9.0716
```

=====

Density functional theory data (PBE-GGA) for a geometry-optimized Ca3Sn2Hg3 structure.

Summary:
Polymorph energy (0 for the lowest one): 0.000 eV/f.u.
Space-group type: Cmcm (63)
Formation energy from the elements: -503.9 meV per atom
Theoretical density: 7.16 g/cm³

Geometry as extended XYZ:
```
16
Lattice="2.3311 -5.8116 0.0000 2.3311 5.8116 0.0000 0.0000 0.0000 16.4217" Properties=species:S:1:pos:R:3 pbc="T T T"
Ca 2.3311 4.9216 9.9648
Ca 2.3311 4.9216 14.6677
Ca 2.3311 1.7407 12.3163
Ca 2.3311 -1.7407 4.1054
Ca 2.3311 -4.9216 1.7540
Ca 2.3311 -4.9216 6.4569
Sn 2.3311 3.3358 1.8401
Sn 2.3311 3.3358 6.3707
Sn 2.3311 -3.3358 10.0510
Sn 2.3311 -3.3358 14.5815
Hg 2.3311 1.3763 4.1054
Hg 2.3311 1.3712 8.7386
Hg 2.3311 1.3712 15.8939
Hg 2.3311 -1.3712 0.5277
Hg 2.3311 -1.3712 7.6831
Hg 2.3311 -1.3763 12.3163
```

=====

Density functional theory data (PBE-GGA) for a geometry-optimized CaSnHg structure.

Summary:
Space-group type: P2/m (10)
Formation energy from the elements: -440.1 meV per atom
Theoretical density: 7.31 g/cm³

Geometry as extended XYZ:
```
6
Lattice="3.7898 0.0000 0.0000 0.0000 4.9208 0.0000 -0.1369 0.0000 8.7562" Properties=species:S:1:pos:R:3 pbc="T T T"
Ca 0.0000 0.0000 0.0000
Ca -0.0685 2.4604 4.3781
Sn 1.6202 0.0000 2.9076
Sn 2.0327 0.0000 5.8487
Hg 1.4488 2.4604 7.3367
Hg 2.2041 2.4604 1.4195
```

=====

Density functional theory data (PBE-GGA) for a geometry-optimized Ca3Sn2Hg3 structure.

Summary:
Polymorph energy (0 for the lowest one): 0.418 eV/f.u.
Space-group type: C2/m (12)
Formation energy from the elements: -451.6 meV per atom
Theoretical density: 7.16 g/cm³

Geometry as extended XYZ:
```
8
Lattice="9.9111 -2.1025 0.0000 9.9111 2.1025 0.0000 -0.9549 0.0000 5.3390" Properties=species:S:1:pos:R:3 pbc="T T T"
Ca 0.0000 0.0000 0.0000
Ca 2.1572 0.0000 3.1271
Ca 16.7100 0.0000 2.2120
Sn 4.5834 0.0000 0.9852
Sn 14.2838 0.0000 4.3538
Hg 6.6473 0.0000 4.9708
Hg 9.4336 0.0000 2.6695
Hg 12.2199 0.0000 0.3682
```

=====

Which formula does entry 8 have? Ca3Sn2Hg3

=====

Number 6 is which compound? Ca3Sn2Hg3

=====

Repeat the fourth record exactly.
Density functional theory data (PBE-GGA) for a geometry-optimized Ca6Sn2Hg structure.

Summary:
Space-group type: Immm (71)
Formation energy from the elements: -468.8 meV per atom
Theoretical density: 3.50 g/cm³

Geometry as extended XYZ:
```
9
Lattice="-2.6418 3.7963 8.0177 2.6418 -3.7963 8.0177 2.6418 3.7963 -8.0177" Properties=species:S:1:pos:R:3 pbc="T T T"
Ca 2.6418 1.9023 -2.6688
Ca 0.0000 1.8830 0.0000
Ca 2.6418 1.9023 2.6688
Ca 0.0000 1.8940 5.3489
Ca 0.0000 5.7096 0.0000
Ca 0.0000 1.8940 10.6865
Sn 0.0000 0.0000 2.6783
Sn 0.0000 0.0000 13.3571
Hg 0.0000 0.0000 8.0177
```

=====

Among the records above, which one has the highest theoretical density? number 7